1.
Compound: Pb2AuS2
Source: Alexandria via LeMat-Bulk
Functional: GGA-PBE
Structure: relaxed

Output
**Distance to the lowest polymorph of the same formula**: 0.1725 eV per atom
**Symmetry**: P4/mbm (127)

Cell lengths 7.863, 7.863, 3.972 Å; angles 90.00, 90.00, 90.00 degrees
Fractional coordinates of all 10 atoms:
1 Pb 0.158 0.342 0.000
2 Pb 0.342 0.842 0.000
3 Pb 0.658 0.158 0.000
4 Pb 0.842 0.658 0.000
5 Au 0.000 0.000 0.500
6 Au 0.500 0.500 0.500
7 S 0.168 0.668 0.500
8 S 0.332 0.168 0.500
9 S 0.668 0.832 0.500
10 S 0.832 0.332 0.500

---

2.
Compound: Sr2LiTl
Source: Alexandria via LeMat-Bulk
Functional: GGA-PBE
Structure: relaxed

Output
**Distance to the lowest polymorph of the same formula**: 0.0625 eV per atom
**Symmetry**: R3m (160)

Cell lengths 7.849, 7.849, 7.849 Å; angles 37.00, 37.00, 37.00 degrees
Fractional coordinates of all 4 atoms:
1 Sr 0.000 0.000 0.000
2 Sr 0.180 0.180 0.180
3 Li 0.758 0.758 0.758
4 Tl 0.424 0.424 0.424

---

3.
Compound: Pr6CN3
Source: Alexandria via LeMat-Bulk
Functional: GGA-PBE
Structure: relaxed

Output
**Symmetry**: R3 (146)

Cell lengths 7.142, 7.142, 7.142 Å; angles 52.79, 52.79, 52.79 degrees
Fractional coordinates of all 10 atoms:
1 Pr 0.011 0.657 0.332
2 Pr 0.155 0.519 0.825
3 Pr 0.332 0.011 0.657
4 Pr 0.519 0.825 0.155
5 Pr 0.657 0.332 0.011
6 Pr 0.825 0.155 0.519
7 C 0.243 0.243 0.243
8 N 0.421 0.421 0.421
9 N 0.744 0.744 0.744
10 N 0.922 0.922 0.922

---

4.
Compound: K2SrCo
Source: Alexandria via LeMat-Bulk
Functional: GGA-PBE
Structure: relaxed

Output
**Distance to the lowest polymorph of the same formula**: 0.1252 eV per atom
**Symmetry**: Imm2 (44)

Cell lengths 7.949, 7.949, 7.949 Å; angles 150.21, 131.66, 57.82 degrees
Fractional coordinates of all 4 atoms:
1 K 0.000 0.000 0.000
2 K 0.671 0.171 0.500
3 Sr 0.325 0.825 0.500
4 Co 0.478 0.478 0.000

---

5.
Compound: YHo5Ir6
Source: Alexandria via LeMat-Bulk
Functional: GGA-PBE
Structure: relaxed

Output
**Symmetry**: P2/m (10)

Cell lengths 4.716, 7.142, 7.462 Å; angles 90.00, 108.35, 90.00 degrees
Fractional coordinates of all 12 atoms:
1 Y 0.000 0.000 0.000
2 Ho 0.000 0.500 0.000
3 Ho 0.333 0.000 0.666
4 Ho 0.333 0.500 0.667
5 Ho 0.667 0.000 0.334
6 Ho 0.667 0.500 0.333
7 Ir 0.167 0.251 0.335
8 Ir 0.167 0.749 0.335
9 Ir 0.500 0.252 0.000
10 Ir 0.500 0.748 0.000
11 Ir 0.833 0.251 0.665
12 Ir 0.833 0.749 0.665

---

6.
Compound: Sr2PdPtAu6
Source: Alexandria via LeMat-Bulk
Functional: GGA-PBE
Structure: relaxed

Output
**Symmetry**: Fm-3m (225)

Cell lengths 7.253, 7.253, 7.253 Å; angles 60.00, 60.00, 60.00 degrees
Fractional coordinates of all 10 atoms:
1 Sr 0.250 0.250 0.250
2 Sr 0.750 0.750 0.750
3 Pd 0.000 0.000 0.000
4 Pt 0.500 0.500 0.500
5 Au 0.249 0.249 0.751
6 Au 0.249 0.751 0.249
7 Au 0.249 0.751 0.751
8 Au 0.751 0.249 0.249
9 Au 0.751 0.249 0.751
10 Au 0.751 0.751 0.249

---

7.
Compound: MgAg3
Source: Alexandria via LeMat-Bulk
Functional: GGA-PBE
Structure: relaxed

Output
**Distance to the lowest polymorph of the same formula**: 0.1047 eV per atom
**Symmetry**: Pm-3n (223)

Cell lengths 5.294, 5.294, 5.294 Å; angles 90.00, 90.00, 90.00 degrees
Fractional coordinates of all 8 atoms:
1 Mg 0.000 0.000 0.000
2 Mg 0.500 0.500 0.500
3 Ag 0.000 0.250 0.500
4 Ag 0.000 0.750 0.500
5 Ag 0.250 0.500 0.000
6 Ag 0.500 0.000 0.250
7 Ag 0.500 0.000 0.750
8 Ag 0.750 0.500 0.000

---

8.
Compound: CaZnRu2
Source: Alexandria via LeMat-Bulk
Functional: GGA-PBE
Structure: relaxed

Output
**Symmetry**: Pmmm (47)

Cell lengths 3.063, 4.541, 4.750 Å; angles 90.00, 90.00, 90.00 degrees
Fractional coordinates of all 4 atoms:
1 Ca 0.000 0.000 0.000
2 Zn 0.500 0.000 0.500
3 Ru 0.000 0.500 0.500
4 Ru 0.500 0.500 0.000

---

9.
Compound: ZrHgBi2
Source: Alexandria via LeMat-Bulk
Functional: GGA-PBE
Structure: relaxed

Output
**Symmetry**: R-3m (166)

Cell lengths 12.725, 12.725, 12.725 Å; angles 15.30, 15.30, 15.30 degrees
Fractional coordinates of all 4 atoms:
1 Zr 0.000 0.000 0.000
2 Hg 0.500 0.500 0.500
3 Bi 0.401 0.401 0.401
4 Bi 0.599 0.599 0.599

---

10.
Compound: TbAlGa2Ru2
Source: Alexandria via LeMat-Bulk
Functional: GGA-PBE
Structure: relaxed

Output
**Symmetry**: P4/mmm (123)

Cell lengths 4.488, 4.488, 5.603 Å; angles 90.00, 90.00, 90.00 degrees
Fractional coordinates of all 6 atoms:
1 Tb 0.000 0.000 0.000
2 Al 0.000 0.000 0.500
3 Ga 0.500 0.500 0.238
4 Ga 0.500 0.500 0.762
5 Ru 0.000 0.500 0.500
6 Ru 0.500 0.000 0.500

---

11.
Compound: SmAg2Pd
Source: Alexandria via LeMat-Bulk
Functional: GGA-PBE
Structure: relaxed

Output
**Distance to the lowest polymorph of the same formula**: 0.1211 eV per atom
**Symmetry**: Fm-3m (225)

Cell lengths 4.888, 4.888, 4.888 Å; angles 60.00, 60.00, 60.00 degrees
Fractional coordinates of all 4 atoms:
1 Sm 0.000 0.000 0.000
2 Ag 0.250 0.250 0.250
3 Ag 0.750 0.750 0.750
4 Pd 0.500 0.500 0.500

---

12.
Compound: NaBe2CoPb
Source: Alexandria via LeMat-Bulk
Functional: GGA-PBE
Structure: relaxed

Output
**Symmetry**: P4/mmm (123)

Cell lengths 4.609, 4.609, 5.725 Å; angles 90.00, 90.00, 90.00 degrees
Fractional coordinates of all 5 atoms:
1 Na 0.000 0.000 0.000
2 Be 0.000 0.500 0.500
3 Be 0.500 0.000 0.500
4 Co 0.500 0.500 0.000
5 Pb 0.000 0.000 0.500

---

| no. | DFT total energy (eV per cell) |
| --- | --- |
| 1 | -38.763 |
| 2 | -8.362 |
| 3 | -69.717 |
| 4 | -8.359 |
| 5 | -92.591 |
| 6 | -36.277 |
| 7 | -20.766 |
| 8 | -20.517 |
| 9 | -17.100 |
| 10 | -34.329 |
| 11 | -16.770 |
| 12 | -12.317 |